Record 1
# Hf2AgCl

A crystal of Hf2AgCl relaxed with PBEsol (meta-GGA SCAN, Alexandria).

Unit cell a=4.6948 b=4.6948 c=4.6948 alpha=60.00 beta=60.00 gamma=60.00
With the nearest neighbours (Å) after each atom.
Atoms (fractional coordinates):
1 Hf 0.2500 0.2500 0.2500  4 Cl 2.87, 4 Ag 2.87
2 Hf 0.7500 0.7500 0.7500  4 Cl 2.87, 4 Ag 2.87
3 Ag 0.0000 0.0000 0.0000  8 Hf 2.87
4 Cl 0.5000 0.5000 0.5000  8 Hf 2.87

Output
As for the symmetry: Fm-3m, No. 225. The calculation puts the uncorrected formation energy at -31.2 meV/atom. Its total energy is -41.204 eV per atom. The calculation puts the spin magnetization at 0.00 μB per formula unit.

---

Record 2
# Y3HgO

A crystal of Y3HgO relaxed with PBEsol (meta-GGA SCAN, Alexandria).

Unit cell a=4.6959 b=4.6959 c=4.6959 alpha=90.00 beta=90.00 gamma=90.00
With the nearest neighbours (Å) after each atom.
Atoms (fractional coordinates):
1 Y 0.0000 0.0000 0.5000  2 O 2.35
2 Y 0.0000 0.5000 0.0000  2 O 2.35
3 Y 0.5000 0.0000 0.0000  2 O 2.35
4 Hg 0.5000 0.5000 0.5000  12 Y 3.32
5 O 0.0000 0.0000 0.0000  6 Y 2.35

Output
As for the symmetry: Pm-3m, No. 221. The calculation puts the uncorrected formation energy at -1666.2 meV/atom. Its total energy is -33.251 eV per atom. The calculation puts the spin magnetization at 0.00 μB per formula unit.

---

Record 3
# SrHg2H2

A crystal of SrHg2H2 relaxed with PBEsol (meta-GGA SCAN, Alexandria).

Unit cell a=5.6616 b=5.6616 c=5.6616 alpha=135.57 beta=135.57 gamma=64.65
With the nearest neighbours (Å) after each atom.
Atoms (fractional coordinates):
1 Sr 0.0000 0.0000 0.0000  8 H 3.21, 10 Hg 3.29-3.38
2 Hg 0.3440 0.3440 0.0000  4 H 2.32
3 Hg 0.6560 0.6560 0.0000  4 H 2.32
4 H 0.2500 0.7500 0.5000  4 Hg 2.32
5 H 0.7500 0.2500 0.5000  4 Hg 2.32

Output
As for the symmetry: I4/mmm, No. 139. Its total energy is -33.102 eV per atom. The calculation puts the spin magnetization at 0.00 μB per formula unit.

---

Record 4
# CsBaPt2S

A crystal of CsBaPt2S relaxed with PBEsol (meta-GGA SCAN, Alexandria).

Unit cell a=4.7260 b=4.7260 c=5.6860 alpha=90.00 beta=90.00 gamma=90.00
With the nearest neighbours (Å) after each atom.
Atoms (fractional coordinates):
1 Cs 0.0000 0.0000 0.0000  4 Ba 3.34, 8 Pt 3.70
2 Ba 0.5000 0.5000 0.0000  2 S 2.84
3 Pt 0.0000 0.5000 0.5000  2 S 2.36
4 Pt 0.5000 0.0000 0.5000  2 S 2.36
5 S 0.5000 0.5000 0.5000  4 Pt 2.36

Output
As for the symmetry: P4/mmm, No. 123. The calculation puts the uncorrected formation energy at -177.8 meV/atom. Its total energy is -45.653 eV per atom. The calculation puts the spin magnetization at 0.00 μB per formula unit.

---

Record 5
# SrC3

A crystal of SrC3 relaxed with PBEsol (meta-GGA SCAN, Alexandria).

Unit cell a=4.1035 b=4.1035 c=4.1035 alpha=109.47 beta=109.47 gamma=109.47
With the nearest neighbours (Å) after each atom.
Atoms (fractional coordinates):
1 Sr 0.0000 0.0000 0.0000  6 C 2.37
2 C 0.0000 0.5000 0.5000  2 Sr 2.37, 4 C 2.37
3 C 0.5000 0.0000 0.5000  2 Sr 2.37, 4 C 2.37
4 C 0.5000 0.5000 0.0000  2 Sr 2.37, 4 C 2.37

Output
As for the symmetry: Im-3m, No. 229. Its total energy is -9.849 eV per atom. For the distance to the lowest polymorph of the same formula, the calculation gives 2064 meV per atom. The formation energy is 3.2944 eV per atom. The calculation puts the spin magnetization at 0.00 μB per formula unit.

---

Record 6
# HgP2BrCl

A crystal of HgP2BrCl relaxed with PBEsol (meta-GGA SCAN, Alexandria).

Unit cell a=5.0159 b=5.0159 c=5.0187 alpha=90.00 beta=90.00 gamma=90.00
With the nearest neighbours (Å) after each atom.
Atoms (fractional coordinates):
1 Hg 0.0000 0.0000 0.0000  4 P 2.51, 2 Cl 2.51
2 P 0.0000 0.5000 0.0000  2 Hg 2.51
3 P 0.5000 0.0000 0.0000  2 Hg 2.51
4 Br 0.5000 0.5000 0.5000  4 Cl 3.55, 8 P 3.55
5 Cl 0.0000 0.0000 0.5000  2 Hg 2.51

Output
As for the symmetry: P4/mmm, No. 123. The calculation puts the uncorrected formation energy at 926.8 meV/atom. Its total energy is -22.353 eV per atom. The calculation puts the spin magnetization at 2.88 μB per formula unit.

---

Record 7
# RbGaCoSn2

A crystal of RbGaCoSn2 relaxed with PBEsol (meta-GGA SCAN, Alexandria).

Unit cell a=4.8302 b=4.8302 c=5.8393 alpha=90.00 beta=90.00 gamma=90.00
With the nearest neighbours (Å) after each atom.
Atoms (fractional coordinates):
1 Rb 0.0000 0.0000 0.0000  2 Co 2.92
2 Ga 0.5000 0.5000 0.0000  4 Rb 3.42, 8 Sn 3.79
3 Co 0.0000 0.0000 0.5000  4 Sn 2.42
4 Sn 0.0000 0.5000 0.5000  2 Co 2.42
5 Sn 0.5000 0.0000 0.5000  2 Co 2.42

Output
As for the symmetry: P4/mmm, No. 123. Its total energy is -24.867 eV per atom. The formation energy is 0.3794 eV per atom. The calculation puts the spin magnetization at 0.66 μB per formula unit.

---

Record 8
# BaPdW2Cl

A crystal of BaPdW2Cl relaxed with PBEsol (meta-GGA SCAN, Alexandria).

Unit cell a=5.4092 b=5.4092 c=5.3732 alpha=90.00 beta=90.00 gamma=90.00
With the nearest neighbours (Å) after each atom.
Atoms (fractional coordinates):
1 Ba 0.0000 0.0000 0.0000  2 Cl 2.69, 4 W 2.70
2 Pd 0.5000 0.5000 0.5000  8 W 3.81, 4 Cl 3.82
3 W 0.0000 0.5000 0.0000  2 Ba 2.70
4 W 0.5000 0.0000 0.0000  2 Ba 2.70
5 Cl 0.0000 0.0000 0.5000  2 Ba 2.69

Output
As for the symmetry: P4/mmm, No. 123. The calculation puts the uncorrected formation energy at 3143.4 meV/atom. Its total energy is -40.792 eV per atom. The calculation puts the spin magnetization at 7.65 μB per formula unit.

---

Record 9
# Nb2InNiF

A crystal of Nb2InNiF relaxed with PBEsol (meta-GGA SCAN, Alexandria).

Unit cell a=4.6047 b=4.6047 c=4.6939 alpha=90.00 beta=90.00 gamma=90.00
With the nearest neighbours (Å) after each atom.
Atoms (fractional coordinates):
1 Nb 0.0000 0.5000 0.0000  2 Ni 2.30
2 Nb 0.5000 0.0000 0.0000  2 Ni 2.30
3 In 0.0000 0.0000 0.5000  2 Ni 2.35
4 Ni 0.0000 0.0000 0.0000  4 Nb 2.30, 2 In 2.35
5 F 0.5000 0.5000 0.5000  4 In 3.26, 8 Nb 3.29

Output
As for the symmetry: P4/mmm, No. 123. The calculation puts the uncorrected formation energy at 547.0 meV/atom. Its total energy is -23.325 eV per atom. The calculation puts the spin magnetization at 0.00 μB per formula unit.

---

Record 10
# SrOs2PbW

A crystal of SrOs2PbW relaxed with PBEsol (meta-GGA SCAN, Alexandria).

Unit cell a=4.7194 b=4.7194 c=5.3032 alpha=90.00 beta=90.00 gamma=90.00
With the nearest neighbours (Å) after each atom.
Atoms (fractional coordinates):
1 Sr 0.0000 0.0000 0.0000  4 Os 2.36
2 Os 0.0000 0.5000 0.0000  2 Sr 2.36
3 Os 0.5000 0.0000 0.0000  2 Sr 2.36
4 Pb 0.0000 0.0000 0.5000  2 Sr 2.65
5 W 0.5000 0.5000 0.5000  4 Pb 3.34, 8 Os 3.55

Output
As for the symmetry: P4/mmm, No. 123. Its total energy is -58.586 eV per atom. The formation energy is 3.7149 eV per atom. The calculation puts the spin magnetization at 2.47 μB per formula unit.

---

Record 11
# Cr2SiOs

A crystal of Cr2SiOs relaxed with PBEsol (meta-GGA SCAN, Alexandria).

Unit cell a=4.8207 b=4.8207 c=4.8207 alpha=144.96 beta=131.64 gamma=61.10
With the nearest neighbours (Å) after each atom.
Atoms (fractional coordinates):
1 Cr 0.2441 0.2441 0.0000  4 Cr 2.45, 2 Si 2.49, 2 Os 2.57
2 Cr 0.7559 0.7559 0.0000  4 Cr 2.45, 2 Si 2.49, 2 Os 2.57
3 Si 0.0000 0.5000 0.5000  4 Os 2.45, 4 Cr 2.49
4 Os 0.5000 0.0000 0.5000  4 Si 2.45, 4 Cr 2.57

Output
As for the symmetry: Immm, No. 71. The calculation puts the uncorrected formation energy at -277.8 meV/atom. Its total energy is -29.944 eV per atom. The calculation puts the spin magnetization at 0.00 μB per formula unit.

---

Record 12
# RbSb2O

A crystal of RbSb2O relaxed with PBEsol (meta-GGA SCAN, Alexandria).

Unit cell a=7.1427 b=7.1427 c=7.1427 alpha=60.00 beta=60.00 gamma=60.00
With the nearest neighbours (Å) after each atom.
Atoms (fractional coordinates):
1 Rb 0.1250 0.1250 0.1250  12 Sb 4.19, 4 Rb 4.37, 4 O 4.37
2 Rb 0.8750 0.8750 0.8750  12 Sb 4.19, 4 O 4.37, 4 Rb 4.37
3 Sb 0.0000 0.5000 0.5000  2 O 2.19
4 Sb 0.5000 0.0000 0.5000  2 O 2.19
5 Sb 0.5000 0.5000 0.0000  2 O 2.19
6 Sb 0.5000 0.5000 0.5000  2 O 2.19
7 O 0.3750 0.3750 0.3750  4 Sb 2.19
8 O 0.6250 0.6250 0.6250  4 Sb 2.19

Output
As for the symmetry: Fd-3m, No. 227. The calculation puts the uncorrected formation energy at -355.3 meV/atom. Its total energy is -25.728 eV per atom. The calculation puts the spin magnetization at 0.00 μB per formula unit.

---

What did we get for Fermi-level density of states? Answer: 1.76; 1.67; 1.19; 2.35; 1.90; 3.92; 2.93; 5.42; 4.54; 4.43; 2.48; 2.30 states/eV/cell, in the order shown.